No. 1
VASP calculation (SCAN) on KNa7Pb2O7 at its PBEsol-relaxed geometry.

* symmetry: No. 14

Cell lengths 5.941, 10.624, 17.558 Å; angles 90.33, 90.00, 90.00 degrees
Element x y z (fractional)
K 0.986 0.860 0.536
K 0.014 0.140 0.464
K 0.514 0.360 0.536
K 0.486 0.640 0.464
Na 0.682 0.666 0.805
Na 0.559 0.069 0.579
Na 0.714 0.707 0.178
Na 0.818 0.166 0.805
Na 0.182 0.834 0.195
Na 0.599 0.408 0.705
Na 0.165 0.580 0.135
Na 0.318 0.334 0.195
Na 0.665 0.920 0.865
Na 0.786 0.207 0.178
Na 0.335 0.080 0.135
Na 0.941 0.569 0.579
Na 0.333 0.814 0.029
Na 0.401 0.592 0.295
Na 0.833 0.686 0.971
Na 0.855 0.459 0.254
Na 0.441 0.931 0.421
Na 0.145 0.541 0.746
Na 0.167 0.314 0.029
Na 0.645 0.959 0.254
Na 0.099 0.092 0.295
Na 0.214 0.793 0.822
Na 0.059 0.431 0.421
Na 0.901 0.908 0.705
Na 0.355 0.041 0.746
Na 0.286 0.293 0.822
Na 0.667 0.186 0.971
Na 0.835 0.420 0.865
Pb 0.317 0.558 0.922
Pb 0.683 0.442 0.078
Pb 0.933 0.752 0.358
Pb 0.567 0.252 0.358
Pb 0.067 0.248 0.642
Pb 0.183 0.058 0.922
Pb 0.817 0.942 0.078
Pb 0.433 0.748 0.642
O 0.564 0.570 0.617
O 0.990 0.758 0.083
O 0.436 0.430 0.383
O 0.986 0.640 0.453
O 0.010 0.242 0.917
O 0.091 0.720 0.666
O 0.909 0.280 0.334
O 0.044 0.656 0.260
O 0.956 0.344 0.740
O 0.486 0.117 0.862
O 0.510 0.258 0.083
O 0.544 0.844 0.740
O 0.456 0.156 0.260
O 0.514 0.883 0.138
O 0.490 0.742 0.917
O 0.974 0.017 0.181
O 0.986 0.383 0.138
O 0.486 0.860 0.547
O 0.936 0.070 0.617
O 0.526 0.517 0.181
O 0.026 0.983 0.819
O 0.514 0.140 0.453
O 0.014 0.360 0.547
O 0.064 0.930 0.383
O 0.014 0.617 0.862
O 0.591 0.780 0.334
O 0.474 0.483 0.819
O 0.409 0.220 0.666

No. 2
VASP calculation (SCAN) on K3NaRe2O9 at its PBEsol-relaxed geometry.

* symmetry: No. 194
* DOS(E_F): 0.00 states/eV per cell

Cell lengths 5.999, 5.999, 14.455 Å; angles 90.00, 90.00, 120.00 degrees
Element x y z (fractional)
K 0.000 0.000 0.250
K 0.000 0.000 0.750
K 0.333 0.667 0.382
K 0.667 0.333 0.882
K 0.667 0.333 0.618
K 0.333 0.667 0.118
Na 0.000 0.000 0.500
Na 0.000 0.000 0.000
Re 0.333 0.667 0.650
Re 0.667 0.333 0.150
Re 0.667 0.333 0.350
Re 0.333 0.667 0.850
O 0.942 0.471 0.250
O 0.471 0.529 0.750
O 0.471 0.942 0.750
O 0.529 0.058 0.250
O 0.529 0.471 0.250
O 0.058 0.529 0.750
O 0.819 0.639 0.406
O 0.639 0.819 0.906
O 0.181 0.819 0.906
O 0.819 0.181 0.406
O 0.361 0.181 0.406
O 0.181 0.819 0.594
O 0.181 0.361 0.594
O 0.181 0.361 0.906
O 0.639 0.819 0.594
O 0.361 0.181 0.094
O 0.819 0.181 0.094
O 0.819 0.639 0.094

No. 3
VASP calculation (SCAN) on K3NaRu2O8 at its PBEsol-relaxed geometry.

* symmetry: No. 15
* polymorph energy (0 for the lowest one): 0 meV/atom

Cell lengths 5.922, 5.922, 15.099 Å; angles 91.44, 91.44, 60.27 degrees
Each line ends with the local moment (μB).
Element x y z (fractional)
K 0.700 0.639 0.419  0.00
K 0.361 0.300 0.081  0.00
K 0.070 0.930 0.250  0.00
K 0.930 0.070 0.750  0.00
K 0.639 0.700 0.919  0.00
K 0.300 0.361 0.581  0.00
Na 0.000 0.000 0.000  0.00
Na 0.000 0.000 0.500  0.00
Ru 0.362 0.308 0.357  1.09
Ru 0.692 0.638 0.143  1.09
Ru 0.638 0.692 0.643  1.09
Ru 0.308 0.362 0.857  1.09
O 0.609 0.223 0.918  0.22
O 0.777 0.391 0.582  0.22
O 0.391 0.777 0.082  0.22
O 0.223 0.609 0.418  0.22
O 0.167 0.702 0.875  0.17
O 0.298 0.833 0.625  0.17
O 0.833 0.298 0.125  0.17
O 0.702 0.167 0.375  0.17
O 0.133 0.238 0.913  0.18
O 0.762 0.867 0.587  0.18
O 0.867 0.762 0.087  0.18
O 0.238 0.133 0.413  0.18
O 0.244 0.389 0.247  0.16
O 0.611 0.756 0.253  0.16
O 0.756 0.611 0.753  0.16
O 0.389 0.244 0.747  0.16

No. 4
VASP calculation (SCAN) on K3NaRu2O8 at its PBEsol-relaxed geometry.

* symmetry: No. 164
* polymorph energy (0 for the lowest one): 6 meV/atom

Cell lengths 5.921, 5.921, 7.636 Å; angles 90.00, 90.00, 120.00 degrees
Each line ends with the local moment (μB).
Element x y z (fractional)
K 0.333 0.667 0.647  0.00
K 0.000 0.000 0.000  0.00
K 0.667 0.333 0.353  0.00
Na 0.000 0.000 0.500  0.00
Ru 0.333 0.667 0.208  1.09
Ru 0.667 0.333 0.792  1.09
O 0.826 0.174 0.698  0.19
O 0.349 0.174 0.698  0.19
O 0.826 0.651 0.698  0.19
O 0.174 0.826 0.302  0.19
O 0.174 0.349 0.302  0.19
O 0.651 0.826 0.302  0.19
O 0.333 0.667 0.979  0.15
O 0.667 0.333 0.021  0.15

No. 5
VASP calculation (SCAN) on KNaSO4 at its PBEsol-relaxed geometry.

* symmetry: No. 156
* DOS(E_F): 0.00 states/eV per cell
* polymorph energy (0 for the lowest one): 0 meV/atom

Cell lengths 5.585, 5.585, 7.178 Å; angles 90.00, 90.00, 120.00 degrees
Element x y z (fractional)
K 0.667 0.333 0.666
K 0.000 0.000 0.997
Na 0.000 0.000 0.498
Na 0.333 0.667 0.295
S 0.667 0.333 0.225
S 0.333 0.667 0.772
O 0.811 0.623 0.299
O 0.189 0.378 0.699
O 0.667 0.333 0.021
O 0.189 0.811 0.699
O 0.811 0.189 0.299
O 0.333 0.667 0.977
O 0.622 0.811 0.699
O 0.377 0.189 0.299

No. 6
VASP calculation (SCAN) on KNaSO4 at its PBEsol-relaxed geometry.

* symmetry: No. 164
* DOS(E_F): 0.00 states/eV per cell
* polymorph energy (0 for the lowest one): 20 meV/atom

Cell lengths 5.588, 5.588, 7.163 Å; angles 90.00, 90.00, 120.00 degrees
Element x y z (fractional)
K 0.667 0.333 0.335
K 0.333 0.667 0.665
Na 0.000 0.000 0.500
Na 0.000 0.000 0.000
S 0.667 0.333 0.782
S 0.333 0.667 0.218
O 0.188 0.812 0.292
O 0.377 0.188 0.708
O 0.812 0.188 0.708
O 0.623 0.812 0.292
O 0.333 0.667 0.015
O 0.188 0.377 0.292
O 0.812 0.623 0.708
O 0.667 0.333 0.985

No. 7
VASP calculation (SCAN) on K2NaSb3O9 at its PBEsol-relaxed geometry.

* symmetry: No. 201
* DOS(E_F): 0.00 states/eV per cell

Cell lengths 9.521, 9.521, 9.521 Å; angles 90.00, 90.00, 90.00 degrees
Element x y z (fractional)
K 0.149 0.901 0.851
K 0.851 0.901 0.149
K 0.150 0.602 0.150
K 0.850 0.602 0.850
K 0.350 0.102 0.650
K 0.650 0.102 0.350
K 0.351 0.401 0.351
K 0.649 0.401 0.649
Na 0.750 0.501 0.250
Na 0.250 0.501 0.750
Na 0.750 0.001 0.750
Na 0.250 0.001 0.250
Sb 0.500 0.092 0.000
Sb 0.500 0.411 0.000
Sb 0.341 0.751 0.500
Sb 0.659 0.751 0.500
Sb 0.000 0.251 0.341
Sb 0.000 0.251 0.659
Sb 0.000 0.911 0.500
Sb 0.000 0.592 0.500
Sb 0.159 0.251 0.000
Sb 0.841 0.251 0.000
Sb 0.500 0.751 0.159
Sb 0.500 0.751 0.841
O 0.336 0.749 0.712
O 0.664 0.749 0.288
O 0.336 0.754 0.288
O 0.664 0.754 0.712
O 0.997 0.463 0.336
O 0.998 0.039 0.664
O 0.002 0.039 0.336
O 0.003 0.463 0.664
O 0.712 0.088 0.998
O 0.288 0.415 0.997
O 0.288 0.088 0.002
O 0.712 0.415 0.003
O 0.164 0.254 0.788
O 0.836 0.254 0.212
O 0.164 0.249 0.212
O 0.836 0.249 0.788
O 0.502 0.539 0.164
O 0.503 0.963 0.836
O 0.497 0.963 0.164
O 0.498 0.539 0.836
O 0.788 0.915 0.503
O 0.212 0.588 0.502
O 0.212 0.915 0.497
O 0.788 0.588 0.498
O 0.000 0.112 0.000
O 0.000 0.391 0.000
O 0.360 0.751 0.000
O 0.640 0.751 0.000
O 0.000 0.751 0.360
O 0.000 0.751 0.640
O 0.500 0.891 0.500
O 0.500 0.612 0.500
O 0.140 0.251 0.500
O 0.860 0.251 0.500
O 0.500 0.251 0.140
O 0.500 0.251 0.860

No. 8
VASP calculation (SCAN) on K3NaSe2O8 at its PBEsol-relaxed geometry.

* symmetry: No. 164
* DOS(E_F): 0.00 states/eV per cell

Cell lengths 5.856, 5.856, 7.505 Å; angles 90.00, 90.00, 120.00 degrees
Element x y z (fractional)
K 0.000 0.000 0.500
K 0.333 0.667 0.836
K 0.667 0.333 0.164
Na 0.000 0.000 0.000
Se 0.333 0.667 0.278
Se 0.667 0.333 0.722
O 0.641 0.820 0.198
O 0.180 0.359 0.198
O 0.180 0.820 0.198
O 0.820 0.641 0.802
O 0.359 0.180 0.802
O 0.820 0.180 0.802
O 0.667 0.333 0.502
O 0.333 0.667 0.498

No. 9
VASP calculation (SCAN) on K3NaSe2O8 at its PBEsol-relaxed geometry.

* symmetry: No. 15
* DOS(E_F): 0.00 states/eV per cell

Cell lengths 5.871, 5.851, 15.066 Å; angles 89.80, 90.00, 120.11 degrees
Element x y z (fractional)
K 0.944 0.000 0.250
K 0.056 0.000 0.750
K 0.303 0.657 0.410
K 0.646 0.343 0.090
K 0.697 0.343 0.590
K 0.354 0.657 0.910
Na 0.000 0.000 0.000
Na 0.000 0.000 0.500
Se 0.318 0.673 0.135
Se 0.645 0.327 0.365
Se 0.682 0.327 0.865
Se 0.355 0.673 0.635
O 0.141 0.370 0.093
O 0.771 0.630 0.407
O 0.859 0.630 0.907
O 0.229 0.370 0.593
O 0.157 0.837 0.119
O 0.320 0.163 0.381
O 0.843 0.163 0.881
O 0.680 0.837 0.619
O 0.603 0.828 0.080
O 0.775 0.172 0.420
O 0.397 0.172 0.920
O 0.225 0.828 0.580
O 0.274 0.656 0.741
O 0.618 0.344 0.759
O 0.726 0.344 0.259
O 0.382 0.656 0.241

No. 10
VASP calculation (SCAN) on K4Na2Si6O15 at its PBEsol-relaxed geometry.

* symmetry: No. 15
* DOS(E_F): 0.00 states/eV per cell

Cell lengths 7.356, 10.564, 12.467 Å; angles 66.08, 72.84, 69.62 degrees
Element x y z (fractional)
K 0.562 0.460 0.669
K 0.691 0.040 0.831
K 0.438 0.540 0.331
K 0.309 0.960 0.169
K 0.070 0.666 0.835
K 0.570 0.834 0.665
K 0.930 0.334 0.165
K 0.430 0.166 0.335
Na 0.007 0.573 0.591
Na 0.171 0.927 0.909
Na 0.993 0.427 0.409
Na 0.829 0.073 0.091
Si 0.242 0.800 0.501
Si 0.544 0.700 0.999
Si 0.758 0.200 0.499
Si 0.456 0.300 0.001
Si 0.679 0.746 0.387
Si 0.813 0.754 0.113
Si 0.321 0.254 0.613
Si 0.187 0.246 0.887
Si 0.127 0.035 0.615
Si 0.778 0.465 0.885
Si 0.873 0.965 0.385
Si 0.222 0.535 0.115
O 0.243 0.666 0.620
O 0.530 0.834 0.880
O 0.757 0.334 0.380
O 0.470 0.166 0.120
O 0.227 0.954 0.514
O 0.695 0.546 0.986
O 0.773 0.046 0.486
O 0.305 0.454 0.014
O 0.059 0.829 0.435
O 0.323 0.671 0.065
O 0.941 0.171 0.565
O 0.677 0.329 0.935
O 0.438 0.778 0.395
O 0.611 0.722 0.105
O 0.562 0.222 0.605
O 0.389 0.278 0.895
O 0.774 0.601 0.482
O 0.857 0.899 0.018
O 0.226 0.399 0.518
O 0.143 0.101 0.982
O 0.697 0.890 0.402
O 0.989 0.610 0.098
O 0.303 0.110 0.598
O 0.011 0.390 0.902
O 0.777 0.750 0.250
O 0.223 0.250 0.750
O 0.076 0.933 0.747
O 0.756 0.567 0.753
O 0.924 0.067 0.253
O 0.244 0.433 0.247

No. 11
VASP calculation (SCAN) on K5Na3Ta8O24 at its PBEsol-relaxed geometry.

* symmetry: No. 123
* DOS(E_F): 0.00 states/eV per cell

Cell lengths 7.947, 7.949, 7.949 Å; angles 90.00, 90.00, 90.00 degrees
Element x y z (fractional)
K 0.000 0.000 0.000
K 0.000 0.500 0.000
K 0.000 0.000 0.500
K 0.000 0.500 0.500
K 0.500 0.500 0.500
Na 0.500 0.000 0.000
Na 0.500 0.500 0.000
Na 0.500 0.000 0.500
Ta 0.748 0.751 0.751
Ta 0.252 0.751 0.751
Ta 0.748 0.249 0.751
Ta 0.252 0.249 0.751
Ta 0.748 0.751 0.249
Ta 0.252 0.751 0.249
Ta 0.748 0.249 0.249
Ta 0.252 0.249 0.249
O 0.746 0.751 0.000
O 0.254 0.751 0.000
O 0.746 0.249 0.000
O 0.254 0.249 0.000
O 0.747 0.752 0.500
O 0.253 0.752 0.500
O 0.747 0.248 0.500
O 0.253 0.248 0.500
O 0.746 0.000 0.751
O 0.254 0.000 0.751
O 0.747 0.500 0.752
O 0.253 0.500 0.752
O 0.746 0.000 0.249
O 0.254 0.000 0.249
O 0.747 0.500 0.248
O 0.253 0.500 0.248
O 0.000 0.751 0.751
O 0.500 0.752 0.752
O 0.000 0.249 0.751
O 0.500 0.248 0.752
O 0.000 0.751 0.249
O 0.500 0.752 0.248
O 0.000 0.249 0.249
O 0.500 0.248 0.248

Going through the records in order, we get total magnetization values of 0.00 0.00 0.29 0.29 0.00 0.00 0.00 0.00 0.00 0.01 0.00 μB per atom.
Going through the records in order, we get formation energy (no corrections) values of -24.18 -29.21 -20.97 -20.89 -14.54 -14.40 -26.85 -21.94 -21.95 -74.52 -115.20 eV/f.u..
Going through the records in order, we get raw total energy values of -1028.77 -513.38 -339.35 -169.60 -123.27 -122.99 -862.34 -141.15 -282.32 -539.66 -851.71 eV per cell.